Entry 1:
Here is a crystal of HgAu3 relaxed with PBEsol from Alexandria via LeMat-Bulk. Energies are from SCAN.

The crystal system is trigonal.

The space group is R-3m (No. 166, hexagonal axes) and the conventional cell measures 2.9846, 2.9846 and 27.9017 Å, with angles of 90.00, 90.00 and 120.00 degrees. The distinct sites, in fractional coordinates, are Hg at (0.0000, 0.0000, 0.0000), Au at (0.0000, 0.0000, 0.2475) and Au at (0.0000, 0.0000, 0.5000).


Entry 2:
Here is a crystal of Hg2Au relaxed with PBEsol from Alexandria via LeMat-Bulk. Energies are from SCAN.

The crystal system is tetragonal.

The space group is I4/mmm (No. 139) and the conventional cell measures 3.8143, 3.8143 and 8.4579 Å, with angles of 90.00, 90.00 and 90.00 degrees. The distinct sites, in fractional coordinates, are Hg at (0.0000, 0.0000, 0.1663) and Au at (0.0000, 0.0000, 0.5000).


Entry 3:
Here is a crystal of HgAu2 relaxed with PBEsol from Alexandria via LeMat-Bulk. Energies are from SCAN.

The crystal system is tetragonal.

The space group is I4/mmm (No. 139) and the conventional cell measures 2.9937, 2.9937 and 12.1543 Å, with angles of 90.00, 90.00 and 90.00 degrees. The distinct sites, in fractional coordinates, are Hg at (0.0000, 0.0000, 0.0000) and Au at (0.0000, 0.0000, 0.3298).


Entry 4:
Here is a crystal of HgAu3 relaxed with PBEsol from Alexandria via LeMat-Bulk. Energies are from SCAN.

The crystal system is orthorhombic.

The space group is Pnma (No. 62) and the conventional cell measures 5.0880, 9.6415 and 5.8035 Å, with angles of 90.00, 90.00 and 90.00 degrees. The distinct sites, in fractional coordinates, are Hg at (0.0751, 0.2500, 0.1181), Au at (0.0837, 0.2500, 0.6234) and Au at (0.2426, 0.5026, 0.3722).


Entry 5:
Here is a crystal of HgAu2 relaxed with PBEsol from Alexandria via LeMat-Bulk. Energies are from SCAN.

The crystal system is cubic.

The space group is Fd-3m (No. 227, origin choice 2) and the conventional cell measures 7.7610, 7.7610 and 7.7610 Å, with angles of 90.00, 90.00 and 90.00 degrees. The distinct sites, in fractional coordinates, are Hg at (0.1250, 0.1250, 0.1250) and Au at (0.0000, 0.0000, 0.5000).


Entry 6:
Here is a crystal of HgAu4 relaxed with PBEsol from Alexandria via LeMat-Bulk. Energies are from SCAN.

The crystal system is trigonal. The value obtained for the energy above the most stable polymorph in this dataset is 0.0177 eV per atom.

The space group is R-3m (No. 166, hexagonal axes) and the conventional cell measures 2.9679, 2.9679 and 34.8810 Å, with angles of 90.00, 90.00 and 120.00 degrees. The distinct sites, in fractional coordinates, are Hg at (0.0000, 0.0000, 0.0000), Au at (0.0000, 0.0000, 0.1990) and Au at (0.0000, 0.0000, 0.4026).


Entry 7:
Here is a crystal of HgAu2 relaxed with PBEsol from Alexandria via LeMat-Bulk. Energies are from SCAN.

The crystal system is tetragonal.

The space group is P4/mmm (No. 123) and the conventional cell measures 4.8331, 4.8331 and 2.8497 Å, with angles of 90.00, 90.00 and 90.00 degrees. The distinct sites, in fractional coordinates, are Hg at (0.0000, 0.0000, 0.0000) and Au at (0.0000, 0.5000, 0.5000).


Entry 8:
Here is a crystal of Hg3Au4 relaxed with PBEsol from Alexandria via LeMat-Bulk. Energies are from SCAN.

The crystal system is tetragonal.

The space group is I4/mmm (No. 139) and the conventional cell measures 3.5416, 3.5416 and 20.9475 Å, with angles of 90.00, 90.00 and 90.00 degrees. The distinct sites, in fractional coordinates, are Hg at (0.0000, 0.0000, 0.0000), Hg at (0.0000, 0.0000, 0.2905), Au at (0.0000, 0.0000, 0.1381) and Au at (0.0000, 0.0000, 0.4295).


| no. | calculated total energy (eV per atom) |
| --- | --- |
| 1 | -68.826 |
| 2 | -68.390 |
| 3 | -68.729 |
| 4 | -68.845 |
| 5 | -68.800 |
| 6 | -68.890 |
| 7 | -68.564 |
| 8 | -68.620 |